# Tl2GeAu7

A relaxed Tl2GeAu7 crystal (GGA-PBE, Alexandria).

a b c (Å): 3.963 3.963 13.860
angles (deg): 90.00 90.00 90.00
Fractional positions:
Tl (0.000, 0.500, 0.249)
Tl (0.500, 0.000, 0.751)
Ge (0.000, 0.000, 0.500)
Au (0.000, 0.000, 0.000)
Au (0.000, 0.500, 0.648)
Au (0.000, 0.500, 0.848)
Au (0.500, 0.000, 0.152)
Au (0.500, 0.000, 0.352)
Au (0.500, 0.500, 0.000)
Au (0.500, 0.500, 0.500)

Output
**Magnetization**: 0.00 μB per atom
**Electronic total energy**: -3.20 eV/atom
**ΔE_f**: 0.029 eV per atom
**Space group**: P-4m2